No. 1
Here is a relaxed structure of RbLiAsPd from the Alexandria database. Energies are from PBE.

Cell lengths 4.3771, 4.3771, 6.7179 Å; angles 70.99, 70.99, 60.00 degrees
Atoms (fractional coordinates):
As: 0.6212 0.6212 0.1365
Rb: 0.8141 0.8141 0.5576
Li: 0.9940 0.9940 0.0179
Pd: 0.2965 0.2965 0.1104

Computed properties:
Raw total energy: -14.68 eV/cell
E_form: -490 meV per atom
Total magnetic moment: 0.000 μB per cell

---

No. 2
Here is a relaxed structure of Rb2HI from the Alexandria database. Energies are from PBE.

Cell lengths 5.9622, 5.9622, 5.9622 Å; angles 60.00, 60.00, 60.00 degrees
Atoms (fractional coordinates):
I: 0.5000 0.5000 0.5000
Rb: 0.7500 0.7500 0.7500
Rb: 0.2500 0.2500 0.2500
H: 0.0000 0.0000 0.0000

Computed properties:
Raw total energy: -9.58 eV/cell
Energy above the most stable polymorph in this dataset: 100 meV/atom
Total magnetic moment: 0.000 μB per cell

---

No. 3
Here is a relaxed structure of Cs7Ag3F2 from the Alexandria database. Energies are from PBE.

Cell lengths 5.8383, 5.7457, 19.0186 Å; angles 90.00, 98.83, 90.00 degrees
Atoms (fractional coordinates):
Ag: 0.5000 0.5000 0.0000
Ag: 0.3415 0.5000 0.6830
Ag: 0.6585 0.5000 0.3170
F: 0.0777 0.0000 0.1555
F: 0.9223 0.0000 0.8445
Cs: 0.0000 0.0000 0.0000
Cs: 0.5888 0.0000 0.1776
Cs: 0.1952 0.0000 0.3903
Cs: 0.4112 0.0000 0.8224
Cs: 0.0904 0.5000 0.1808
Cs: 0.8048 0.0000 0.6097
Cs: 0.9096 0.5000 0.8192

Computed properties:
Raw total energy: -28.00 eV/cell
Total magnetic moment: 0.000 μB per cell

---

No. 4
Here is a relaxed structure of TlSbPb2 from the Alexandria database. Energies are from PBE.

Cell lengths 6.1564, 6.1564, 6.3428 Å; angles 83.78, 83.78, 31.38 degrees
Atoms (fractional coordinates):
Tl: 0.2463 0.2463 0.2482
Sb: 0.5034 0.5034 0.5273
Pb: 0.0000 0.0000 0.9915
Pb: 0.7503 0.7503 0.7329

Computed properties:
Raw total energy: -13.73 eV/cell
Energy above the most stable polymorph in this dataset: 32 meV/atom
Total magnetic moment: 0.000 μB per cell

---

No. 5
Here is a relaxed structure of Zr2TiAu from the Alexandria database. Energies are from PBE.

Cell lengths 4.0603, 4.0603, 10.6378 Å; angles 79.00, 79.00, 90.00 degrees
Atoms (fractional coordinates):
Au: 0.7500 0.2500 0.5000
Au: 0.0000 0.0000 0.0000
Ti: 0.2500 0.7500 0.5000
Ti: 0.5000 0.5000 0.0000
Zr: 0.3750 0.3742 0.7500
Zr: 0.8750 0.8758 0.7500
Zr: 0.6258 0.1250 0.2500
Zr: 0.1242 0.6250 0.2500

Computed properties:
Raw total energy: -54.80 eV/cell
E_form: 217 meV per atom
Energy above the most stable polymorph in this dataset: 500 meV/atom
Total magnetic moment: 0.000 μB per cell

---

No. 6
Here is a relaxed structure of CsBi3As from the Alexandria database. Energies are from PBE.

Cell lengths 6.3223, 6.3223, 6.3223 Å; angles 90.00, 90.00, 90.00 degrees
Atoms (fractional coordinates):
Bi: 0.0000 0.5000 0.0000
Bi: 0.5000 0.0000 0.0000
Bi: 0.0000 0.0000 0.5000
As: 0.5000 0.5000 0.5000
Cs: 0.0000 0.0000 0.0000

Computed properties:
Raw total energy: -8.52 eV/cell
E_form: 1725 meV per atom
Energy above the most stable polymorph in this dataset: 1528 meV/atom
Total magnetic moment: 1.018 μB per cell

---

No. 7
Here is a relaxed structure of Cs2HfReO from the Alexandria database. Energies are from PBE.

Cell lengths 7.5418, 3.9526, 7.5418 Å; angles 90.00, 90.00, 90.00 degrees
Atoms (fractional coordinates):
O: 0.0000 0.5000 0.0000
Hf: 0.0000 0.0000 0.0000
Cs: 0.5000 0.0000 0.0000
Cs: 0.0000 0.0000 0.5000
Re: 0.5000 0.5000 0.5000

Computed properties:
Raw total energy: -25.14 eV/cell
Total magnetic moment: 3.069 μB per cell

---

No. 8
Here is a relaxed structure of AlCd2Tc from the Alexandria database. Energies are from PBE.

Cell lengths 5.3682, 5.3682, 5.3682 Å; angles 141.35, 131.70, 63.50 degrees
Atoms (fractional coordinates):
Tc: 0.5208 0.5208 0.0000
Cd: 0.2618 0.7618 0.5000
Cd: 0.9909 0.9909 0.0000
Al: 0.7266 0.2266 0.5000

Computed properties:
Raw total energy: -15.16 eV/cell
E_form: 195 meV per atom
Total magnetic moment: 0.000 μB per cell